A.
The following is a PBE calculation of crystalline Be2BOs2 at its relaxed geometry, from Alexandria via LeMat-Bulk.

Output
Crystal system: tetragonal

abc: 5.7645 5.7645 3.2787
angles: 90.00 90.00 90.00
Space group P4/mbm (No. 127)
One atom of each set of equivalent atoms:
1 Be 0.1317 0.3683 0.0000
2 B 0.0000 0.0000 0.5000
3 Os 0.1695 0.6695 0.5000



B.
The following is a PBE calculation of crystalline Be2BOs2 at its relaxed geometry, from Alexandria via LeMat-Bulk.

Output
Crystal system: tetragonal

abc: 2.8231 2.8231 12.9194
angles: 90.00 90.00 90.00
Space group I4/mmm (No. 139)
One atom of each set of equivalent atoms:
1 Be 0.0000 0.5000 0.2500
2 B 0.0000 0.0000 0.0000
3 Os 0.0000 0.0000 0.3993



Most stable: A



A.
The following is a PBE calculation of crystalline BeBOs at its relaxed geometry, from Alexandria via LeMat-Bulk.

Output
Crystal system: tetragonal

abc: 3.0163 3.0163 13.1057
angles: 90.00 90.00 90.00
Space group I4/mmm (No. 139)
One atom of each set of equivalent atoms:
1 Be 0.0000 0.5000 0.2500
2 B 0.0000 0.0000 0.1383
3 Os 0.0000 0.0000 0.3956



B.
The following is a PBE calculation of crystalline BeBOs at its relaxed geometry, from Alexandria via LeMat-Bulk.

Output
Crystal system: triclinic

abc: 3.8125 3.9321 4.2124
angles: 68.23 87.50 80.37
Space group P-1 (No. 2)
One atom of each set of equivalent atoms:
1 Be 0.2438 0.4094 0.1371
2 B 0.3107 0.6646 0.5020
3 Os 0.2284 0.0758 0.7265



C.
The following is a PBE calculation of crystalline BeBOs at its relaxed geometry, from Alexandria via LeMat-Bulk.

Output
Crystal system: trigonal

abc: 3.5157 3.5157 2.8997
angles: 90.00 90.00 120.00
Space group P3m1 (No. 156)
One atom of each set of equivalent atoms:
1 Be 0.0000 0.0000 0.0000
2 B 0.6667 0.3333 0.7304
3 Os 0.3333 0.6667 0.5753



D.
The following is a PBE calculation of crystalline BeBOs at its relaxed geometry, from Alexandria via LeMat-Bulk.

Output
Crystal system: trigonal

abc: 3.5427 3.5427 17.4259
angles: 90.00 90.00 120.00
Space group R-3m (No. 166, hexagonal axes)
One atom of each set of equivalent atoms:
1 Be 0.0000 0.0000 0.1366
2 B 0.0000 0.0000 0.4113
3 Os 0.0000 0.0000 0.2756



Most stable: D



A.
The following is a PBE calculation of crystalline BeBOs at its relaxed geometry, from Alexandria via LeMat-Bulk.

Output
Crystal system: triclinic

abc: 2.9260 4.1423 5.4153
angles: 97.86 105.66 110.59
Space group P-1 (No. 2)
One atom of each set of equivalent atoms:
1 Be 0.2076 0.3358 0.0811
2 B 0.0284 0.4080 0.6502
3 Os 0.3699 0.0136 0.7249



B.
The following is a PBE calculation of crystalline BeBOs at its relaxed geometry, from Alexandria via LeMat-Bulk.

Output
Crystal system: orthorhombic

abc: 3.4999 4.3013 7.5222
angles: 90.00 90.00 90.00
Space group Immm (No. 71)
One atom of each set of equivalent atoms:
1 Be 0.0000 0.2452 0.0000
2 B 0.0000 0.5000 0.3828
3 Os 0.0000 0.0000 0.2889



C.
The following is a PBE calculation of crystalline BeBOs at its relaxed geometry, from Alexandria via LeMat-Bulk.

Output
Crystal system: tetragonal

abc: 2.8536 2.8536 7.1086
angles: 90.00 90.00 90.00
Space group I4mm (No. 107)
One atom of each set of equivalent atoms:
1 Be 0.0000 0.0000 0.0000
2 B 0.0000 0.0000 0.3171
3 Os 0.0000 0.0000 0.6775



D.
The following is a PBE calculation of crystalline BeBOs at its relaxed geometry, from Alexandria via LeMat-Bulk.

Output
Crystal system: monoclinic

abc: 9.1384 2.8558 5.5595
angles: 90.00 121.24 90.00
Space group C2/m (No. 12)
One atom of each set of equivalent atoms:
1 Be 0.1239 0.0000 0.3765
2 B 0.0877 0.0000 0.9892
3 Os 0.1434 0.5000 0.7560



Most stable: A



A.
The following is a PBE calculation of crystalline BeB3Os at its relaxed geometry, from Alexandria via LeMat-Bulk.

Output
Crystal system: cubic

abc: 3.5232 3.5232 3.5232
angles: 90.00 90.00 90.00
Space group Pm-3m (No. 221)
One atom of each set of equivalent atoms:
1 Be 0.0000 0.0000 0.0000
2 B 0.0000 0.0000 0.5000
3 Os 0.5000 0.5000 0.5000



B.
The following is a PBE calculation of crystalline BeB3Os at its relaxed geometry, from Alexandria via LeMat-Bulk.

Output
Crystal system: cubic

abc: 4.0853 4.0853 4.0853
angles: 90.00 90.00 90.00
Space group Pm-3m (No. 221)
One atom of each set of equivalent atoms:
1 Be 0.0000 0.0000 0.0000
2 B 0.0000 0.5000 0.5000
3 Os 0.5000 0.5000 0.5000



Most stable: B